Record 1
A relaxed LaRe3Ru crystal, computed with PBE.

Uncorrected energy   -8.960 eV per atom
ΔH_f (0 K)   1350 meV/atom

a b c (Å): 4.7579 4.7579 4.7579
angles (deg): 90.00 90.00 90.00
Sites, in units of the cell vectors:
Re (0.0000, 0.5000, 0.0000)
Re (0.0000, 0.0000, 0.5000)
Re (0.5000, 0.0000, 0.0000)
Ru (0.0000, 0.0000, 0.0000)
La (0.5000, 0.5000, 0.5000)


Record 2
A relaxed V4GaFe2 crystal, computed with PBE.

Uncorrected energy   -7.045 eV per atom
ΔH_f (0 K)   1016 meV/atom

a b c (Å): 4.4656 4.4656 6.6228
angles (deg): 70.30 70.30 90.00
Last column: magnetic moment on the atom in μB.
Sites, in units of the cell vectors:
Fe (0.3883, 0.3883, 0.2235)  1.89
Fe (0.6117, 0.6117, 0.7765)  1.89
Ga (0.0000, 0.0000, 0.0000)  0.07
V (0.2078, 0.2078, 0.5845)  -1.55
V (0.7922, 0.7922, 0.4155)  -1.55
V (0.0000, 0.5000, 0.0000)  -0.29
V (0.5000, 0.0000, 0.0000)  -0.29


Record 3
A relaxed Nd4GaSeCl2 crystal, computed with PBE.

Uncorrected energy   -4.992 eV per atom
Raw formation energy   -1.33 eV/atom

a b c (Å): 4.2707 7.2186 7.4044
angles (deg): 69.81 90.00 90.00
Sites, in units of the cell vectors:
Nd (0.0000, 0.7348, 0.7630)
Nd (0.0000, 0.2652, 0.2370)
Nd (0.5000, 0.7336, 0.2456)
Nd (0.5000, 0.2664, 0.7544)
Ga (0.5000, 0.5000, 0.0000)
Se (0.0000, 0.5000, 0.5000)
Cl (0.0000, 0.0000, 0.0000)
Cl (0.5000, 0.0000, 0.5000)


Record 4
A relaxed Rb2TlPb crystal, computed with PBE.

Uncorrected energy   -1.787 eV per atom
ΔH_f (0 K)   216 meV/atom

a b c (Å): 3.8777 3.8777 13.7215
angles (deg): 81.88 81.88 60.00
Sites, in units of the cell vectors:
Pb (0.0000, 0.0000, 0.0000)
Tl (0.5000, 0.5000, 0.5000)
Rb (0.0901, 0.0901, 0.7296)
Rb (0.9099, 0.9099, 0.2704)


Which formula does entry 2 have? V4GaFe2


Number 4 is which compound? Rb2TlPb


Please write out number 2 again, unchanged.
A relaxed V4GaFe2 crystal, computed with PBE.

Uncorrected energy   -7.045 eV per atom
ΔH_f (0 K)   1016 meV/atom

a b c (Å): 4.4656 4.4656 6.6228
angles (deg): 70.30 70.30 90.00
Last column: magnetic moment on the atom in μB.
Sites, in units of the cell vectors:
Fe (0.3883, 0.3883, 0.2235)  1.89
Fe (0.6117, 0.6117, 0.7765)  1.89
Ga (0.0000, 0.0000, 0.0000)  0.07
V (0.2078, 0.2078, 0.5845)  -1.55
V (0.7922, 0.7922, 0.4155)  -1.55
V (0.0000, 0.5000, 0.0000)  -0.29
V (0.5000, 0.0000, 0.0000)  -0.29


Among the records above, which one has the lowest uncorrected energy? LaRe3Ru